(1)
VASP calculation (PBE-GGA) on a geometry-optimized BaLa2Cd structure.

```
BaLa2Cd
1.0
5.2940 0.0000 0.0000
0.0000 5.2254 0.0000
0.0000 0.0000 5.2254
La Cd Ba
2 1 1
direct
0.0000 0.0000 0.0000
0.0000 0.5000 0.5000
0.5000 0.0000 0.5000
0.5000 0.5000 0.0000
```

Size of the total moment = 0.0 Bohr magnetons per cell
Calculated total energy = -3.149 eV/atom
Distance to the lowest polymorph of the same formula = 50 kJ/mol of formula units
SG = No. 123
DOS at the Fermi energy = 5.6 states/eV/cell
ΔE_f = 0.02 eV per atom

=====

(2)
VASP calculation (PBE-GGA) on a geometry-optimized Pu2SiS structure.

```
Pu2SiS
1.0
3.8429 0.0000 0.0000
0.0000 4.1435 -0.7359
0.0000 -0.1561 11.1538
S Pu Si
2 4 2
direct
0.7500 0.8093 0.6187
0.2500 0.1907 0.3813
0.2500 0.3160 0.6320
0.7500 0.9353 0.8706
0.2500 0.0647 0.1294
0.7500 0.6840 0.3680
0.7500 0.5369 0.0738
0.2500 0.4631 0.9262
```

Size of the total moment = 0.2 Bohr magnetons per cell
Formation energy without anion corrections = -1.0187 eV/atom
Calculated total energy = -10.572 eV/atom
Distance to the lowest polymorph of the same formula = 0 kJ/mol of formula units
SG = No. 63
DOS at the Fermi energy = 31.9 states/eV/cell

=====

(3)
VASP calculation (PBE-GGA) on a geometry-optimized RbAcHg2F8 structure.

```
RbAcHg2F8
1.0
5.6950 0.0000 0.0000
-2.8475 4.9320 0.0000
0.0000 0.0000 9.6181
F Ac Hg Rb
8 1 2 1
direct
0.3333 0.6667 0.0167
0.9759 0.6720 0.3333
0.3039 0.9759 0.6667
0.6720 0.6961 0.6667
0.6667 0.3333 0.9833
0.0241 0.3280 0.6667
0.3280 0.3039 0.3333
0.6961 0.0241 0.3333
0.0000 0.0000 0.5000
0.6667 0.3333 0.2019
0.3333 0.6667 0.7981
0.0000 0.0000 0.0000
```

Size of the total moment = 0.0 Bohr magnetons per cell
Formation energy without anion corrections = -2.4228 eV/atom
Calculated total energy = -4.144 eV/atom
SG = No. 147
DOS at the Fermi energy = 0.0 states/eV/cell

=====

(4)
VASP calculation (PBE-GGA) on a geometry-optimized H5Pd12Se3 structure.

```
H5Pd12Se3
1.0
-7.5645 5.5097 5.9473
8.1095 -3.5256 6.6899
4.2439 6.7273 -7.7253
Pd H Se
48 20 12
direct
0.6043 0.0121 0.1980
0.9063 0.8140 0.8020
0.4063 0.1043 0.5923
0.9077 0.0937 0.8957
0.4077 0.0121 0.3140
0.8020 0.3140 0.9063
0.0121 0.4077 0.8140
0.1980 0.6860 0.0937
0.5121 0.3140 0.9077
0.8140 0.9077 0.0121
0.4879 0.8020 0.8957
0.0937 0.9077 0.3957
0.5923 0.9879 0.6860
0.1043 0.4063 0.0923
0.6980 0.1043 0.0121
0.5937 0.8957 0.4077
0.5923 0.6043 0.4063
0.0923 0.1860 0.4879
0.4879 0.6860 0.0923
0.9077 0.8140 0.5121
0.4077 0.3957 0.5937
0.3020 0.4063 0.8140
0.9063 0.0923 0.6043
0.3957 0.9879 0.8020
0.5937 0.6980 0.6860
0.8957 0.5937 0.9077
0.6043 0.5923 0.9063
0.9879 0.3957 0.3020
0.8957 0.3020 0.4879
0.4063 0.3020 0.3140
0.1860 0.0923 0.9879
0.1043 0.6980 0.5121
0.8020 0.4879 0.3957
0.1980 0.5121 0.6043
0.0923 0.9063 0.1043
0.9879 0.5923 0.1860
0.3140 0.8020 0.4063
0.6860 0.1980 0.5937
0.0121 0.6043 0.6980
0.3140 0.5121 0.4077
0.0937 0.1860 0.1980
0.6860 0.4879 0.5923
0.5121 0.1980 0.1043
0.8140 0.9063 0.3020
0.3957 0.4077 0.0937
0.3020 0.8957 0.9879
0.6980 0.5937 0.1860
0.1860 0.0937 0.6980
0.3750 0.2500 0.1250
0.5000 0.0000 0.0000
0.6250 0.7500 0.8750
0.1250 0.7500 0.3750
0.2500 0.3750 0.6250
0.5000 0.5000 0.5000
0.0000 0.5000 0.0000
0.2500 0.8750 0.1250
0.5000 0.5000 0.0000
0.8750 0.6250 0.7500
0.0000 0.0000 0.5000
0.8750 0.2500 0.6250
0.7500 0.6250 0.3750
0.5000 0.0000 0.5000
0.6250 0.8750 0.2500
0.0000 0.0000 0.0000
0.0000 0.5000 0.5000
0.7500 0.1250 0.8750
0.3750 0.1250 0.7500
0.1250 0.3750 0.2500
0.3750 0.6250 0.2500
0.8750 0.7500 0.1250
0.1250 0.2500 0.8750
0.1250 0.8750 0.7500
0.2500 0.6250 0.8750
0.8750 0.1250 0.2500
0.7500 0.8750 0.6250
0.6250 0.2500 0.3750
0.3750 0.7500 0.6250
0.6250 0.3750 0.7500
0.2500 0.1250 0.3750
0.7500 0.3750 0.1250
```

Size of the total moment = 0.0 Bohr magnetons per cell
Calculated total energy = -4.608 eV/atom
SG = No. 230
DOS at the Fermi energy = 31.8 states/eV/cell

=====

(5)
VASP calculation (PBE-GGA) on a geometry-optimized HfPPdO2 structure.

```
HfPPdO2
1.0
-2.0976 -0.9599 -3.1948
-3.1826 -0.5550 2.2563
-1.4143 5.3502 -0.6789
P O Pd Hf
1 2 1 1
direct
0.0000 0.0000 0.5000
0.0000 0.5000 0.0000
0.5000 0.0000 0.0000
0.5000 0.5000 0.5000
0.0000 0.0000 0.0000
```

Size of the total moment = 0.9 Bohr magnetons per cell
Formation energy without anion corrections = -1.1801 eV/atom
Calculated total energy = -7.275 eV/atom
Distance to the lowest polymorph of the same formula = 0 kJ/mol of formula units
SG = No. 123
DOS at the Fermi energy = 3.5 states/eV/cell

=====

(6)
VASP calculation (PBE-GGA) on a geometry-optimized Ca2HSe structure.

```
Ca2HSe
1.0
6.9150 0.0000 0.0000
0.0000 6.9150 0.0000
3.4575 3.4575 3.6845
H Ca Se
2 4 2
direct
0.2500 0.7500 0.5000
0.5000 0.5000 0.0000
0.3750 0.4379 0.7500
0.5621 0.1250 0.2500
0.8750 0.8121 0.7500
0.1879 0.6250 0.2500
0.7500 0.2500 0.5000
0.0000 0.0000 0.0000
```

Size of the total moment = 2.0 Bohr magnetons per cell
Calculated total energy = -3.693 eV/atom
Distance to the lowest polymorph of the same formula = 16 kJ/mol of formula units
SG = No. 122
DOS at the Fermi energy = 2.4 states/eV/cell